[1]
First-principles (GGA-PBEsol) data for a relaxed structure of CaMgNi2, as listed in Alexandria.

Structure (POSCAR):
```
CaMgNi2
1.0
1.522 0.879 8.157
-1.522 0.879 8.157
0.000 -1.758 8.157
Ca Mg Ni
1 1 2
Cartesian
0.000 0.000 0.000
0.000 0.000 12.235
0.000 0.000 6.004
0.000 0.000 18.467
```

Values from the calculation:
ΔH_f (0 K) = 1.36 eV/f.u.
total magnetization = 0.000 Bohr magnetons per cell
symmetry = R-3m (166)

***

[2]
First-principles (GGA-PBEsol) data for a relaxed structure of Ca4MgSi8Ni3O24, as listed in Alexandria.

Structure (POSCAR):
```
Ca4MgSi8Ni3O24
1.0
4.881 -4.422 0.000
4.881 4.422 0.000
-2.870 0.000 10.062
Ca Mg Si Ni O
4 1 8 3 24
Cartesian
0.000 0.000 0.000
2.708 -0.837 7.575
4.185 -0.837 2.487
3.446 -4.405 5.031
3.446 1.014 5.031
-0.107 0.977 7.668
1.333 0.963 2.630
-0.034 -1.789 9.936
1.402 -1.783 4.916
7.000 0.977 2.394
5.560 0.963 7.432
5.491 -1.783 5.146
6.927 -1.789 0.126
4.166 2.604 2.511
2.727 2.604 7.551
4.881 1.008 0.000
2.166 2.584 5.580
3.608 2.563 0.550
-0.683 -0.444 7.197
0.750 -0.451 2.150
1.455 1.043 8.098
2.890 1.023 3.052
4.726 2.584 4.482
3.284 2.563 9.512
3.413 -0.369 0.343
1.996 -0.381 5.399
5.437 1.043 1.964
4.002 1.023 7.010
2.378 -2.449 3.732
0.951 -2.449 8.762
3.099 -2.785 1.214
1.656 -2.801 6.246
4.897 -0.381 4.663
3.480 -0.369 9.720
7.576 -0.444 2.865
6.143 -0.451 7.913
5.941 -2.449 1.301
4.515 -2.449 6.330
3.794 -2.785 8.848
5.237 -2.801 3.816
```

Values from the calculation:
energy relative to the elements, uncorrected = -2.595 eV per atom
total magnetization = 6.051 Bohr magnetons per cell
symmetry = C2 (5)

***

[3]
First-principles (GGA-PBEsol) data for a relaxed structure of CaMgSiNi2, as listed in Alexandria.

Structure (POSCAR):
```
CaMgSiNi2
1.0
4.358 0.000 0.000
0.000 4.358 0.000
0.000 0.000 5.122
Ca Mg Si Ni
1 1 1 2
Cartesian
0.000 0.000 0.000
2.179 2.179 0.000
0.000 0.000 2.561
0.000 2.179 2.561
2.179 0.000 2.561
```

Values from the calculation:
energy relative to the elements, uncorrected = 0.298 eV per atom
total magnetization = 0.005 Bohr magnetons per cell
symmetry = P4/mmm (123)

***

[4]
First-principles (GGA-PBEsol) data for a relaxed structure of Ca2MgReO6, as listed in Alexandria.

Structure (POSCAR):
```
Ca2MgReO6
1.0
5.377 0.000 0.000
0.000 5.548 0.000
-5.364 0.000 7.680
Ca Mg Re O
4 2 2 12
Cartesian
-0.066 0.299 1.902
-2.748 2.475 5.742
2.761 3.073 1.938
0.079 5.249 5.778
-2.682 0.000 3.840
0.000 2.774 0.000
2.689 0.000 0.000
0.007 2.774 3.840
-4.230 1.086 7.342
-1.548 1.688 3.502
-3.709 3.965 7.297
-1.027 4.357 3.457
-2.197 0.150 5.824
0.485 2.624 1.984
-0.472 2.924 5.697
2.210 5.398 1.856
1.040 1.191 4.224
3.722 1.583 0.384
1.561 3.861 4.178
4.244 4.462 0.338
```

Values from the calculation:
energy relative to the elements, uncorrected = -2.490 eV per atom
total magnetization = 2.056 Bohr magnetons per cell
symmetry = P2_1/c (14)

***

Result set for calculated total energy: -3.701, -7.612, -4.085, -7.571 eV/atom, one per record in the order listed.
Result set for mass density: 4.610, 3.705, 3.582, 5.604 g/cm3, one per record in the order listed.